The following is a DFT calculation (GGA-PBE) of a geometry-optimized KSc2Co structure.

Structure (POSCAR):
```
KSc2Co
1.0
-5.3848 -2.1747 -0.1319
4.1582 -2.9256 3.4050
-0.6083 0.9720 2.8399
Sc K Co
2 1 1
direct
0.5000 0.0000 0.5000
0.0000 0.0000 0.0000
0.5000 0.5000 0.0000
0.0000 0.5000 0.5000
```

## Properties
DOS(E_F) ... 5.05 states/eV/f.u.
E_tot ... -4.3679 eV per atom
Space group ... C2/m (12)
DFT formation energy ... 82 kJ per mole of atoms

The following is a DFT calculation (GGA-PBE) of a geometry-optimized KScCo2 structure.

Structure (POSCAR):
```
KScCo2
1.0
0.0000 3.3650 3.3650
3.3650 0.0000 3.3650
3.3650 3.3650 0.0000
Sc Co K
1 2 1
direct
0.5000 0.5000 0.5000
0.7500 0.7500 0.7500
0.2500 0.2500 0.2500
0.0000 0.0000 0.0000
```

## Properties
DOS(E_F) ... 6.66 states/eV/f.u.
E_tot ... -4.4833 eV per atom
Space group ... Fm-3m (225)
DFT formation energy ... 89 kJ per mole of atoms

The following is a DFT calculation (GGA-PBE) of a geometry-optimized KSc2Co structure.

Structure (POSCAR):
```
KSc2Co
1.0
-9.6026 2.3323 2.4811
-9.7375 -2.3668 1.8399
10.1840 -0.2688 0.1377
K Sc Co
1 2 1
direct
0.6864 0.1864 0.5000
0.0047 0.0047 0.0000
0.3593 0.8593 0.5000
0.4496 0.4496 0.0000
```

## Properties
DOS(E_F) ... 3.25 states/eV/f.u.
E_tot ... -5.0176 eV per atom
Space group ... Imm2 (44)
DFT formation energy ... 19 kJ per mole of atoms

The following is a DFT calculation (GGA-PBE) of a geometry-optimized KScCo2 structure.

Structure (POSCAR):
```
KScCo2
1.0
-3.3514 3.7526 0.7933
-0.3031 -1.3098 4.9154
2.2041 1.8362 0.6252
Co K Sc
2 1 1
direct
0.0000 0.0000 0.0000
0.5000 0.5000 0.0000
0.5000 0.0000 0.5000
0.0000 0.5000 0.5000
```

## Properties
DOS(E_F) ... 6.68 states/eV/f.u.
E_tot ... -4.5154 eV per atom
Space group ... P4/mmm (123)
DFT formation energy ... 86 kJ per mole of atoms